Na2Dy2CrO6 after structural relaxation, computed with PBE+U.

extended XYZ file:
```
11
Lattice="2.859 -4.880 0.000 2.859 4.880 0.000 -1.542 0.000 5.663" Properties=species:S:1:pos:R:3 pbc="T T T"
Na 2.859 3.466 0.000
Na 2.859 -3.466 0.000
Dy 2.088 1.597 2.832
Dy 2.088 -1.597 2.832
Cr -0.771 0.000 2.832
O 0.051 1.462 3.897
O 0.919 0.000 1.723
O 0.051 -1.462 3.897
O 4.125 1.462 1.766
O 3.257 0.000 3.940
O 4.125 -1.462 1.766
```

uncorrected energy = -0.5060 Ry/atom